Material: Ti2BeRh3
Method: DFT, PBE
State: relaxed

Lattice parameters (Å, degrees): 4.247 4.247 10.516 90.00 90.00 120.00
Atoms (fractional coordinates):
Ti1 0.000 0.000 0.000
Ti2 0.000 0.000 0.500
Ti3 0.333 0.667 0.179
Ti4 0.667 0.333 0.821
Be1 0.333 0.667 0.661
Be2 0.667 0.333 0.339
Rh1 0.000 0.000 0.258
Rh2 0.000 0.000 0.742
Rh3 0.333 0.667 0.419
Rh4 0.333 0.667 0.905
Rh5 0.667 0.333 0.095
Rh6 0.667 0.333 0.581

Properties
Calculated formation energy ... -0.76 eV/atom
Total magnetization ... 0.00 μB/atom
DOS(E_F) ... 7.783 states/eV/cell
E_tot ... -92.24 eV/cell

Material: Pr3Y4Tm4
Method: DFT, PBE
State: relaxed

Lattice parameters (Å, degrees): 3.587 5.046 19.960 97.25 95.15 90.01
Atoms (fractional coordinates):
Pr1 0.000 0.000 0.000
Pr2 0.363 0.363 0.726
Pr3 0.637 0.637 0.274
Y1 0.183 0.183 0.367
Y2 0.453 0.454 0.907
Y3 0.547 0.546 0.093
Y4 0.817 0.817 0.633
Tm1 0.091 0.091 0.182
Tm2 0.272 0.272 0.544
Tm3 0.728 0.728 0.456
Tm4 0.909 0.909 0.818

Properties
Calculated formation energy ... 0.02 eV/atom
Total magnetization ... 0.00 μB/atom
DOS(E_F) ... 14.577 states/eV/cell
E_tot ... -57.81 eV/cell
Energy relative to the lowest polymorph listed for this composition ... 0.0 meV/atom

Material: Te3Br
Method: DFT, PBE
State: relaxed

Lattice parameters (Å, degrees): 3.906 3.906 9.247 90.00 90.00 120.00
Atoms (fractional coordinates):
Te1 0.000 0.000 0.000
Te2 0.667 0.333 0.233
Te3 0.667 0.333 0.767
Br1 0.000 0.000 0.500

Properties
Total magnetization ... 0.00 μB/atom
DOS(E_F) ... 3.564 states/eV/cell
E_tot ... -10.46 eV/cell
Energy relative to the lowest polymorph listed for this composition ... 261.2 meV/atom

Material: RbNaBSe2
Method: DFT, PBE
State: relaxed

Lattice parameters (Å, degrees): 7.627 4.921 8.565 90.00 105.42 90.00
Atoms (fractional coordinates):
Rb1 0.000 0.244 0.250
Rb2 0.000 0.756 0.750
Na1 0.500 0.078 0.750
Na2 0.500 0.922 0.250
B1 0.500 0.500 0.000
B2 0.500 0.500 0.500
Se1 0.292 0.282 0.979
Se2 0.292 0.718 0.479
Se3 0.708 0.282 0.521
Se4 0.708 0.718 0.021

Properties
Total magnetization ... 0.19 μB/atom
DOS(E_F) ... 5.754 states/eV/cell
E_tot ... -35.51 eV/cell

Which formula does entry 4 have? RbNaBSe2